Computed, not measured: a relaxed structure of Li3AgF6 at the PBE level of DFT.

Calculated values
- raw total energy (eV/atom) = -4.127

Cell lengths 6.1660, 6.1660, 6.1660 Å; angles 90.91, 90.91, 90.91 degrees
Closest atoms and distances in Å follow each position.
Atoms (fractional coordinates):
F 0.9122 0.6824 0.0928  1 Li 1.98, 1 Ag 2.11
F 0.0878 0.3176 0.9072  1 Li 1.98, 1 Ag 2.11
F 0.9072 0.0878 0.3176  1 Li 1.98, 1 Ag 2.11
F 0.4634 0.6121 0.8217  3 Li 2.04-2.15, 1 Ag 2.11
F 0.1783 0.5366 0.3879  3 Li 2.04-2.15, 1 Ag 2.11
F 0.5366 0.3879 0.1783  3 Li 2.04-2.15, 1 Ag 2.11
F 0.0928 0.9122 0.6824  1 Li 1.98, 1 Ag 2.11
F 0.8217 0.4634 0.6121  3 Li 2.04-2.15, 1 Ag 2.11
F 0.6824 0.0928 0.9122  1 Li 1.98, 1 Ag 2.11
F 0.3176 0.9072 0.0878  1 Li 1.98, 1 Ag 2.11
F 0.3879 0.1783 0.5366  3 Li 2.04-2.15, 1 Ag 2.11
F 0.6121 0.8217 0.4634  3 Li 2.04-2.15, 1 Ag 2.11
Ag 0.5000 0.5000 0.5000  6 F 2.11
Ag 0.0000 0.0000 0.0000  6 F 2.11
Li 0.5512 0.0650 0.2513  4 F 1.98-2.15
Li 0.9350 0.7487 0.4488  4 F 1.98-2.15
Li 0.7487 0.4488 0.9350  4 F 1.98-2.15
Li 0.2513 0.5512 0.0650  4 F 1.98-2.15
Li 0.4488 0.9350 0.7487  4 F 1.98-2.15
Li 0.0650 0.2513 0.5512  4 F 1.98-2.15